Crystalline In4CuNi at its relaxed geometry, computed with PBE-GGA.

a = 8.2482 Å, b = 8.2482 Å, c = 8.2482 Å
α = 90.00°, β = 90.00°, γ = 90.00°
Space group F-43m (No. 216)
One atom of each set of equivalent atoms:
In 0.1249 0.1249 0.1249 x16
Cu 0.0000 0.0000 0.5000 x4
Ni 0.2500 0.2500 0.7500 x4

Computed properties:
- Energy above the most stable polymorph in this dataset: 0.713 eV per atom
- Energy of formation: 0.69 eV/atom
- Calculated volume: 561.15 Å³/cell
- Total energy: -2.786 eV/atom

---

Crystalline SbPt3Rh at its relaxed geometry, computed with PBE-GGA.

a = 4.8896 Å, b = 4.8896 Å, c = 4.8896 Å
α = 90.00°, β = 90.00°, γ = 90.00°
Space group Pm-3m (No. 221)
One atom of each set of equivalent atoms:
Sb 0.0000 0.0000 0.0000 x1
Pt 0.0000 0.0000 0.5000 x3
Rh 0.5000 0.5000 0.5000 x1

Computed properties:
- Raw formation energy: 1190 meV/atom
- Energy above the most stable polymorph in this dataset: 0.121 eV per atom
- Calculated volume: 116.90 Å³/cell
- Total energy: -4.729 eV/atom

---

Crystalline TiFeSn2S at its relaxed geometry, computed with PBE-GGA.

a = 5.1946 Å, b = 5.1946 Å, c = 3.9558 Å
α = 90.00°, β = 90.00°, γ = 90.00°
Space group P4/mmm (No. 123)
One atom of each set of equivalent atoms:
Ti 0.0000 0.0000 0.0000 x1
Fe 0.5000 0.5000 0.0000 x1
Sn 0.0000 0.5000 0.5000 x2
S 0.5000 0.5000 0.5000 x1

Computed properties:
- Raw formation energy: 511 meV/atom
- Calculated volume: 106.74 Å³/cell
- Total energy: -5.187 eV/atom

---

Crystalline Pr3SiRh3 at its relaxed geometry, computed with PBE-GGA.

a = 9.6604 Å, b = 9.6604 Å, c = 5.8835 Å
α = 90.00°, β = 90.00°, γ = 120.00°
Space group R3m (No. 160, hexagonal axes)
One atom of each set of equivalent atoms:
Pr 0.0671 0.5336 0.0000 x9
Si 0.0000 0.0000 0.9306 x3
Rh 0.0569 0.5285 0.4961 x9

Computed properties:
- Raw formation energy: -509 meV/atom
- Energy above the most stable polymorph in this dataset: 0.262 eV per atom
- Calculated volume: 475.50 Å³/cell
- Total energy: -6.483 eV/atom

---

Crystalline Na3Ce3CdS8 at its relaxed geometry, computed with PBE-GGA.

a = 8.0837 Å, b = 8.0837 Å, c = 19.9401 Å
α = 90.00°, β = 90.00°, γ = 120.00°
Space group R-3m (No. 166, hexagonal axes)
One atom of each set of equivalent atoms:
Na 0.0000 0.5000 0.0000 x9
Ce 0.0000 0.5000 0.5000 x9
Cd 0.0000 0.0000 0.5000 x3
S 0.0000 0.0000 0.2442 x6
S 0.0032 0.5016 0.7589 x18

Computed properties:
- Raw formation energy: -1489 meV/atom
- Calculated volume: 1128.37 Å³/cell
- Total energy: -5.202 eV/atom

---

Crystalline NdEr5Tm2 at its relaxed geometry, computed with PBE-GGA.

a = 6.0928 Å, b = 9.2174 Å, c = 9.4903 Å
α = 103.41°, β = 103.91°, γ = 92.18°
Space group P-1 (No. 2)
One atom of each set of equivalent atoms:
Nd 0.0434 0.2121 0.3016 x2
Er 0.1492 0.5327 0.1940 x2
Er 0.2287 0.9108 0.4378 x2
Er 0.3678 0.6160 0.5822 x2
Er 0.3959 0.6559 0.9478 x2
Er 0.4904 0.0254 0.1829 x2
Tm 0.0604 0.1590 0.9355 x2
Tm 0.3127 0.2813 0.6794 x2

Computed properties:
- Energy of formation: 0.06 eV/atom
- Calculated volume: 500.73 Å³/cell
- Total energy: -4.505 eV/atom

---

Crystalline KMnMo2 at its relaxed geometry, computed with PBE-GGA.

a = 3.8401 Å, b = 3.8401 Å, c = 10.1309 Å
α = 90.00°, β = 90.00°, γ = 90.00°
Space group I4/mmm (No. 139)
One atom of each set of equivalent atoms:
K 0.0000 0.0000 0.0000 x2
Mn 0.0000 0.0000 0.5000 x2
Mo 0.0000 0.5000 0.2500 x4

Computed properties:
- Energy above the most stable polymorph in this dataset: 0.772 eV per atom
- Energy of formation: 1.53 eV/atom
- Calculated volume: 149.40 Å³/cell
- Total energy: -6.457 eV/atom

---

Crystalline YIrF at its relaxed geometry, computed with PBE-GGA.

a = 3.0750 Å, b = 4.6921 Å, c = 14.9509 Å
α = 90.00°, β = 90.00°, γ = 90.00°
Space group Immm (No. 71)
One atom of each set of equivalent atoms:
Y 0.0000 0.0000 0.1080 x4
Ir 0.0000 0.5000 0.2430 x4
F 0.0000 0.2577 0.5000 x4

Computed properties:
- Raw formation energy: -1668 meV/atom
- Calculated volume: 215.71 Å³/cell
- Total energy: -7.400 eV/atom

---

Crystalline BaNbH at its relaxed geometry, computed with PBE-GGA.

a = 5.0081 Å, b = 5.0081 Å, c = 2.9890 Å
α = 90.00°, β = 90.00°, γ = 120.00°
Space group P-6m2 (No. 187)
One atom of each set of equivalent atoms:
Ba 0.0000 0.0000 0.0000 x1
Nb 0.3333 0.6667 0.0000 x1
H 0.6667 0.3333 0.5000 x1

Computed properties:
- Energy above the most stable polymorph in this dataset: 1.595 eV per atom
- Calculated volume: 64.92 Å³/cell
- Total energy: -3.436 eV/atom

---

Crystalline NpPaTl2O6 at its relaxed geometry, computed with PBE-GGA.

a = 8.7346 Å, b = 8.7346 Å, c = 8.7346 Å
α = 90.00°, β = 90.00°, γ = 90.00°
Space group Fm-3m (No. 225)
One atom of each set of equivalent atoms:
Np 0.0000 0.0000 0.0000 x4
Pa 0.0000 0.0000 0.5000 x4
Tl 0.2500 0.2500 0.2500 x8
O 0.0000 0.0000 0.2481 x24

Computed properties:
- Raw formation energy: -2504 meV/atom
- Calculated volume: 666.40 Å³/cell
- Total energy: -8.196 eV/atom

---

Crystalline Pu2AgAu3 at its relaxed geometry, computed with PBE-GGA.

a = 3.0043 Å, b = 5.4552 Å, c = 17.0317 Å
α = 90.00°, β = 90.00°, γ = 90.00°
Space group Immm (No. 71)
One atom of each set of equivalent atoms:
Pu 0.0000 0.0000 0.1579 x4
Ag 0.0000 0.0000 0.5000 x2
Au 0.0000 0.0000 0.3331 x4
Au 0.0000 0.5000 0.5000 x2

Computed properties:
- Energy of formation: -0.16 eV/atom
- Calculated volume: 279.13 Å³/cell
- Total energy: -7.050 eV/atom

---

Crystalline Mg2SeCl at its relaxed geometry, computed with PBE-GGA.

a = 6.0656 Å, b = 6.0656 Å, c = 12.4205 Å
α = 90.00°, β = 90.00°, γ = 90.00°
Space group I-42d (No. 122)
One atom of each set of equivalent atoms:
Mg 0.2414 0.2500 0.1250 x8
Se 0.0000 0.0000 0.0000 x4
Cl 0.0000 0.0000 0.5000 x4

Computed properties:
- Raw formation energy: -920 meV/atom
- Energy above the most stable polymorph in this dataset: 0.096 eV per atom
- Calculated volume: 456.96 Å³/cell
- Total energy: -3.050 eV/atom